Entry 1:
Compound: Ca2Br
Source: the Alexandria database
Functional: PBE-GGA
Structure: relaxed

The structure in POSCAR format:
```
Ca2Br
1.0
6.9663 0.0000 0.0000
0.0000 7.6359 0.0000
0.0000 0.0000 3.9197
Ca Br
4 2
Direct
0.2038 0.1579 0.0000
0.2962 0.6579 0.5000
0.7038 0.3421 0.5000
0.7962 0.8421 0.0000
0.0000 0.5000 0.0000
0.5000 0.0000 0.5000
```

Values from the calculation:
raw formation energy = -223.0 kJ/mol of formula units
offset from the most stable computed form = 0.376 eV/f.u.



Entry 2:
Compound: Ba3Li4Cd2
Source: the Alexandria database
Functional: PBE-GGA
Structure: relaxed

The structure in POSCAR format:
```
Ba3Li4Cd2
1.0
6.2799 -2.5946 0.0000
6.2799 2.5946 0.0000
-3.5444 0.0000 9.5683
Ba Li Cd
3 4 2
Direct
0.0000 0.0000 0.0000
0.3647 0.3647 0.3149
0.6353 0.6353 0.6851
0.1197 0.1197 0.4267
0.2772 0.2772 0.9313
0.7228 0.7228 0.0687
0.8803 0.8803 0.5733
0.3440 0.3440 0.6838
0.6560 0.6560 0.3162
```

Values from the calculation:
energy relative to the elements = -2.4 kcal/mol of atoms
offset from the most stable computed form = 0.198 eV/f.u.



- Look up the offset from the most stable computed form of the first one.
  0.376 eV/f.u.



- Look up the offset from the most stable computed form of the first one.
  0.376 eV/f.u.



- Which of these has the highest offset from the most stable computed form?
  Ca2Br



- Among the records above, which one has the lowest offset from the most stable computed form?
  Ba3Li4Cd2